(1)
The following is a PBE-GGA calculation of an optimized crystal structure of LiTe2PI, from the Alexandria database.

Computed properties:
Density of states at the Fermi level = 0.9699 states/eV/atom
Polymorph energy (0 for the lowest one) = 463 meV per atom
Raw formation energy = 594 meV per atom
Total DFT energy (no corrections) = -12.19 eV/cell

abc: 5.1289 5.1289 5.0324
angles: 90.00 90.00 90.00
With the nearest neighbours (Å) after each atom.
Space group P4/mmm (No. 123)
Inequivalent atoms, fractional coordinates:
Li 0.0000 0.0000 0.0000 [1 per cell]  2 I 2.52, 4 Te 2.56
Te 0.0000 0.5000 0.0000 [2 per cell]  2 Li 2.56
P 0.5000 0.5000 0.5000 [1 per cell]  8 Te 3.59, 4 I 3.63
I 0.0000 0.0000 0.5000 [1 per cell]  2 Li 2.52

(2)
The following is a PBE-GGA calculation of an optimized crystal structure of HfZr2MoH, from the Alexandria database.

Computed properties:
Density of states at the Fermi level = 1.3398 states/eV/atom
Total DFT energy (no corrections) = -40.95 eV/cell

abc: 4.3973 4.3973 4.3948
angles: 90.00 90.00 90.00
With the nearest neighbours (Å) after each atom.
Space group P4/mmm (No. 123)
Inequivalent atoms, fractional coordinates:
Hf 0.0000 0.0000 0.0000 [1 per cell]  8 Zr 3.11, 4 Mo 3.11
Zr 0.0000 0.5000 0.5000 [2 per cell]  2 H 2.20
Mo 0.5000 0.5000 0.0000 [1 per cell]  2 H 2.20
H 0.5000 0.5000 0.5000 [1 per cell]  2 Mo 2.20, 4 Zr 2.20

(3)
The following is a PBE-GGA calculation of an optimized crystal structure of Pr5ErGa6, from the Alexandria database.

Computed properties:
ΔE_f = -6.5 eV/f.u.
Density of states at the Fermi level = 0.4756 states/eV/atom
Total DFT energy (no corrections) = -53.17 eV/cell

abc: 5.2229 7.3870 8.2704
angles: 90.00 108.33 90.00
With the nearest neighbours (Å) after each atom.
Space group P2/m (No. 10)
Inequivalent atoms, fractional coordinates:
Pr 0.0000 0.0000 0.0000 [1 per cell]  8 Ga 3.18-3.22
Pr 0.3297 0.0000 0.6591 [2 per cell]  8 Ga 3.23-3.28, 2 Pr 3.61-3.62
Pr 0.3347 0.5000 0.6689 [2 per cell]  8 Ga 3.16-3.24
Er 0.0000 0.5000 0.0000 [1 per cell]  8 Ga 3.11-3.17
Ga 0.1616 0.2577 0.3242 [4 per cell]  1 Er 3.11, 7 Pr 3.17-3.25
Ga 0.5000 0.2558 0.0000 [2 per cell]  6 Pr 3.16-3.28, 2 Er 3.17

(4)
The following is a PBE-GGA calculation of an optimized crystal structure of Sm2FeCu, from the Alexandria database.

Computed properties:
ΔE_f = 0.1 eV/f.u.
Density of states at the Fermi level = 1.1315 states/eV/atom
Total DFT energy (no corrections) = -21.89 eV/cell

abc: 3.4952 3.4952 7.0556
angles: 90.00 90.00 90.00
With the nearest neighbours (Å) after each atom.
Space group P4/mmm (No. 123)
Inequivalent atoms, fractional coordinates:
Sm 0.0000 0.0000 0.2404 [2 per cell]  4 Fe 3.00, 4 Cu 3.08
Fe 0.5000 0.5000 0.0000 [1 per cell]  8 Sm 3.00
Cu 0.5000 0.5000 0.5000 [1 per cell]  8 Sm 3.08